Record 1
First-principles (PBE) data for a geometry-optimized Nb2VMo5 structure, as listed in the Alexandria database.

a = 6.356 Å, b = 6.356 Å, c = 5.505 Å
α = 125.10°, β = 125.10°, γ = 90.26°
Fractional coordinates of all 8 atoms:
Mo: 0.722 0.222 0.944
Mo: 0.722 0.722 0.444
Mo: 0.222 0.222 0.944
Mo: 0.222 0.722 0.944
V: 0.222 0.222 0.444
Nb: 0.222 0.722 0.444
Mo: 0.722 0.722 0.944
Nb: 0.722 0.222 0.444

Calculated values
D(E_F)	4.888	states/eV per cell
V	128.8	Å³/cell
raw total energy	-10.526	eV per atom
formation energy from the elements	-0.10	eV/atom

Record 2
First-principles (PBE) data for a geometry-optimized Si3Pb5 structure, as listed in the Alexandria database.

a = 7.094 Å, b = 7.094 Å, c = 4.394 Å
α = 90.00°, β = 90.00°, γ = 89.03°
Fractional coordinates of all 8 atoms:
Pb: 0.767 0.767 0.500
Pb: 0.233 0.233 0.500
Si: 0.500 0.500 0.000
Pb: 0.000 0.500 0.000
Pb: 0.000 0.000 0.000
Si: 0.366 0.634 0.500
Pb: 0.500 0.000 0.000
Si: 0.634 0.366 0.500

Calculated values
D(E_F)	3.074	states/eV per cell
formation energy without anion corrections	0.39	eV per atom
V	221.1	Å³/cell
raw total energy	-3.964	eV per atom

Record 3
First-principles (PBE) data for a geometry-optimized SiTc3 structure, as listed in the Alexandria database.

a = 2.862 Å, b = 4.335 Å, c = 4.570 Å
α = 90.00°, β = 90.00°, γ = 90.00°
Fractional coordinates of all 4 atoms:
Tc: 0.500 0.500 0.827
Tc: 0.500 0.000 0.530
Si: 0.000 0.000 0.002
Tc: 0.000 0.500 0.307

Calculated values
D(E_F)	2.175	states/eV per cell
formation energy without anion corrections	-0.14	eV per atom
V	56.7	Å³/cell
raw total energy	-9.266	eV per atom